GGA-PBE Ta2ReGe, optimized geometry; calculated volume = 202.8 Å³ per cell; N(E_F) = 0.987 states/eV per atom; total magnetic moment = 0.00 μB per cell; calculated formation energy = 5.61 eV/f.u.; raw total energy = -8.79 eV per atom
1.0
5.8962 0.0000 0.0000
0.0000 5.8962 0.0000
2.9481 2.9481 5.8344
Re Ta Ge
2 4 2
direct
0.7500 0.2500 0.5000 Re
0.0000 0.0000 0.0000 Re
0.8750 0.8834 0.7500 Ta
0.1166 0.6250 0.2500 Ta
0.3750 0.3666 0.7500 Ta
0.6334 0.1250 0.2500 Ta
0.2500 0.7500 0.5000 Ge
0.5000 0.5000 0.0000 Ge

=====

GGA-PBE CrCd2Sb, optimized geometry; calculated volume = 87.2 Å³ per cell; N(E_F) = 0.607 states/eV per atom; total magnetic moment = 3.31 μB per cell; formation energy (no corrections) = 0.245 eV/atom; raw total energy = -3.65 eV per atom
1.0
3.7612 0.0000 0.0000
0.0000 3.7612 0.0000
0.0000 0.0000 6.1664
Cr Cd Sb
1 2 1
direct
0.0000 0.0000 0.5271 Cr
0.5000 0.5000 0.2432 Cd
0.0000 0.0000 0.0210 Cd
0.5000 0.5000 0.7087 Sb

=====

GGA-PBE BaHgAs2Se, optimized geometry; calculated volume = 151.8 Å³ per cell; ΔE to the lowest computed polymorph = 0.00 kcal/mol of atoms; N(E_F) = 1.079 states/eV per atom; total magnetic moment = 0.00 μB per cell; formation energy (no corrections) = -0.088 eV/atom; raw total energy = -3.09 eV per atom
1.0
-2.5531 -2.0261 4.1021
3.7916 -3.5661 0.5985
2.7027 3.4411 3.3818
Ba As Se Hg
1 2 1 1
direct
0.5000 0.5000 0.5000 Ba
0.0000 0.5000 0.0000 As
0.5000 0.0000 0.0000 As
0.0000 0.0000 0.5000 Se
0.0000 0.0000 0.0000 Hg

=====

GGA-PBE Sr2AgPd, optimized geometry; calculated volume = 130.3 Å³ per cell; N(E_F) = 0.859 states/eV per atom; total magnetic moment = 0.00 μB per cell; calculated formation energy = 1.95 eV/f.u.; raw total energy = -2.37 eV per atom
1.0
5.8518 -1.7075 -3.1675
-1.4066 5.9313 3.1675
-3.9978 -0.2437 5.5812
Sr Pd Ag
2 1 1
direct
0.0000 0.2323 0.2323 Sr
0.0000 0.7677 0.7677 Sr
0.0000 0.0000 0.0000 Pd
0.0000 0.5000 0.5000 Ag